DFT (GGA-PBE) results for a relaxed structure of PmGePd2.

abc: 5.3533 5.3533 5.3533
angles: 48.87 48.87 48.87
With the nearest neighbours (Å) after each atom.
Atoms (fractional coordinates):
Pm (0.0000, 0.0000, 0.0000)  8 Pd 3.00-3.07
Ge (0.5000, 0.5000, 0.5000)  6 Pd 2.64
Pd (0.2126, 0.2126, 0.2126)  3 Ge 2.64, 3 Pd 2.87
Pd (0.7874, 0.7874, 0.7874)  3 Ge 2.64, 3 Pd 2.87

The space group is No. 166. The calculation puts the formation energy from the elements at -748.3 meV per atom. For the density of states at the Fermi level, the calculation gives 0.590 states/eV per atom. Its volume is 19.97 Å³ per atom.

=====

DFT (GGA-PBE) results for a relaxed structure of Pm5PuC4.

abc: 8.3125 8.3125 7.4439
angles: 101.78 101.78 25.32
With the nearest neighbours (Å) after each atom.
Atoms (fractional coordinates):
Pm (0.0000, 0.0000, 0.0000)  4 C 2.70
Pm (0.3344, 0.3344, 0.6517)  4 C 2.51-2.77
Pm (0.3431, 0.3431, 0.1945)  3 C 2.48-2.50
Pm (0.6569, 0.6569, 0.8055)  3 C 2.48-2.50
Pm (0.6656, 0.6656, 0.3483)  4 C 2.51-2.77
Pu (0.0000, 0.0000, 0.5000)  6 C 2.51-2.53
C (0.1596, 0.1596, 0.5770)  5 Pm 2.50-2.77, 1 Pu 2.53
C (0.4994, 0.4994, 0.2671)  4 Pm 2.48-2.70, 2 Pu 2.51
C (0.5006, 0.5006, 0.7329)  4 Pm 2.48-2.70, 2 Pu 2.51
C (0.8404, 0.8404, 0.4230)  5 Pm 2.50-2.77, 1 Pu 2.53

The space group is No. 12. The calculation puts the formation energy from the elements at -26.1 meV per atom. For the density of states at the Fermi level, the calculation gives 1.310 states/eV per atom. Its volume is 21.51 Å³ per atom.

=====

DFT (GGA-PBE) results for a relaxed structure of Er6Te5Au.

abc: 7.4867 7.4867 7.4865
angles: 99.55 99.55 119.74
With the nearest neighbours (Å) after each atom.
Atoms (fractional coordinates):
Er (0.0754, 0.3827, 0.7299)  1 Au 2.82, 4 Te 3.07-3.09
Er (0.2247, 0.2247, 0.2599)  1 Au 2.84, 4 Te 3.09-3.14
Er (0.3827, 0.0754, 0.7299)  1 Au 2.82, 4 Te 3.07-3.09
Er (0.6173, 0.9246, 0.2701)  1 Au 2.82, 4 Te 3.07-3.09
Er (0.7753, 0.7753, 0.7401)  1 Au 2.84, 4 Te 3.09-3.14
Er (0.9246, 0.6173, 0.2701)  1 Au 2.82, 4 Te 3.07-3.09
Te (0.1793, 0.8207, 0.0000)  6 Er 3.08-3.19
Te (0.3365, 0.6635, 0.5000)  6 Er 3.07-3.09
Te (0.5000, 0.5000, 0.0000)  6 Er 3.08-3.28
Te (0.6635, 0.3365, 0.5000)  6 Er 3.07-3.09
Te (0.8207, 0.1793, 0.0000)  6 Er 3.08-3.19
Au (0.0000, 0.0000, 0.5000)  6 Er 2.82-2.84

The space group is No. 12. Its energy relative to the elements, uncorrected is -27.871 kcal/mol of atoms. For the density of states at the Fermi level, the calculation gives 0.310 states/eV per atom. Its volume is 28.66 Å³ per atom.